# TaIrAu2 (GGA-PBE, optimized geometry)
data_TaIrAu2
_cell_length_a 3.5283
_cell_length_b 4.1546
_cell_length_c 4.6786
_cell_angle_alpha 90.00
_cell_angle_beta 90.00
_cell_angle_gamma 90.00
_symmetry_space_group_name_H-M 'P m m m'
_symmetry_Int_Tables_number 47
_symmetry_space_group_name_Hall '-P 2 2'
loop_
_atom_site_label
_atom_site_fract_x
_atom_site_fract_y
_atom_site_fract_z
Ta1 0.0000 0.0000 0.0000
Ir1 0.5000 0.5000 0.0000
Au1 0.0000 0.5000 0.5000
Au2 0.5000 0.0000 0.5000
# E_form (kJ per mole of atoms): 11
# Magnetization (μB per atom): 0.000
# Total DFT energy (no corrections) (eV per atom): -6.7043

# Ta2IrAu (GGA-PBE, optimized geometry)
data_Ta2IrAu
_cell_length_a 9.3959
_cell_length_b 2.9497
_cell_length_c 5.0125
_cell_angle_alpha 90.00
_cell_angle_beta 101.24
_cell_angle_gamma 90.00
_symmetry_space_group_name_H-M 'C 1 m 1'
_symmetry_Int_Tables_number 8
_symmetry_space_group_name_Hall 'C -2y'
loop_
_atom_site_label
_atom_site_fract_x
_atom_site_fract_y
_atom_site_fract_z
Ta1 0.0000 0.0000 0.0000
Ta2 0.2495 0.5000 0.2957
Ir1 0.4941 0.0000 0.4952
Au1 0.2470 0.0000 0.7834
# E_form (kJ per mole of atoms): -22
# Magnetization (μB per atom): 0.000
# Total DFT energy (no corrections) (eV per atom): -9.1867

Q: What is the magnetization in the second record?
A: 0.000 μB per atom

Q: Which formula does entry 1 have?
A: TaIrAu2

Repeat the second record exactly.
# Ta2IrAu (GGA-PBE, optimized geometry)
data_Ta2IrAu
_cell_length_a 9.3959
_cell_length_b 2.9497
_cell_length_c 5.0125
_cell_angle_alpha 90.00
_cell_angle_beta 101.24
_cell_angle_gamma 90.00
_symmetry_space_group_name_H-M 'C 1 m 1'
_symmetry_Int_Tables_number 8
_symmetry_space_group_name_Hall 'C -2y'
loop_
_atom_site_label
_atom_site_fract_x
_atom_site_fract_y
_atom_site_fract_z
Ta1 0.0000 0.0000 0.0000
Ta2 0.2495 0.5000 0.2957
Ir1 0.4941 0.0000 0.4952
Au1 0.2470 0.0000 0.7834
# E_form (kJ per mole of atoms): -22
# Magnetization (μB per atom): 0.000
# Total DFT energy (no corrections) (eV per atom): -9.1867

Q: Among the records above, which one has the highest E_form?
A: TaIrAu2